# SrZnCd2 PBE optimized geometry
# energy = -0.05059 Ha/atom
# total magnetization = 0.0 μB/f.u.
# calculated formation energy = -0.180 eV/atom
data_SrZnCd2
_cell_length_a 6.237
_cell_length_b 6.237
_cell_length_c 6.237
_cell_angle_alpha 44.78
_cell_angle_beta 44.78
_cell_angle_gamma 44.78
_symmetry_space_group_name_H-M 'P 1'
_symmetry_Int_Tables_number 1
loop_
_symmetry_equiv_pos_as_xyz
'x,y,z'
loop_
_atom_site_label
_atom_site_fract_x
_atom_site_fract_y
_atom_site_fract_z
Cd1 0.042 0.042 0.042
Cd2 0.458 0.458 0.458
Zn1 0.750 0.750 0.750
Sr1 0.250 0.250 0.250

=====

# Sr4ZnCd PBE optimized geometry
# energy = -0.05671 Ha/atom
# offset from the most stable computed form = 0.123 eV/atom
# total magnetization = 0.0 μB/f.u.
# calculated formation energy = -0.057 eV/atom
data_Sr4ZnCd
_cell_length_a 5.713
_cell_length_b 5.706
_cell_length_c 9.631
_cell_angle_alpha 72.83
_cell_angle_beta 72.75
_cell_angle_gamma 59.96
_symmetry_space_group_name_H-M 'P 1'
_symmetry_Int_Tables_number 1
loop_
_symmetry_equiv_pos_as_xyz
'x,y,z'
loop_
_atom_site_label
_atom_site_fract_x
_atom_site_fract_y
_atom_site_fract_z
Cd1 0.500 0.500 0.500
Sr1 0.371 0.371 0.887
Sr2 0.629 0.629 0.113
Sr3 0.122 0.122 0.634
Sr4 0.878 0.878 0.366
Zn1 0.000 0.000 0.000